No. 1
Er2Tm5AgRu2 PBE relaxed; calculated formation energy = -30.8 kJ per mole of atoms
1.0
-0.911 -0.768 3.614
-10.503 -3.268 -3.343
3.778 -10.776 -1.336
Tm Ru Er Ag
10 4 4 2
Direct
0.500 0.561 0.709
0.500 0.500 0.000
0.500 0.000 0.500
0.500 0.439 0.291
0.500 0.709 0.439
0.500 0.061 0.791
0.500 0.209 0.061
0.500 0.939 0.209
0.500 0.791 0.939
0.500 0.291 0.561
0.000 0.132 0.632
0.000 0.632 0.868
0.000 0.868 0.368
0.000 0.368 0.132
0.000 0.814 0.686
0.000 0.686 0.186
0.000 0.186 0.314
0.000 0.314 0.814
0.000 0.500 0.500
0.000 0.000 0.000

No. 2
ErTmAgRu PBE relaxed; relative energy among the computed polymorphs = 0.0 kJ per mole of atoms; calculated formation energy = -44.6 kJ per mole of atoms
1.0
3.382 0.000 0.000
0.000 3.382 0.000
0.000 0.000 7.442
Er Ru Tm Ag
1 1 1 1
Direct
0.500 0.500 0.792
0.000 0.000 0.569
0.500 0.500 0.350
0.000 0.000 0.073

No. 3
YErAgRu PBE relaxed; relative energy among the computed polymorphs = 0.0 kJ per mole of atoms; calculated formation energy = -40.6 kJ per mole of atoms
1.0
-1.204 -3.184 -0.278
2.425 -0.717 -2.295
4.552 -2.201 5.498
Er Ag Y Ru
1 1 1 1
Direct
0.500 0.500 0.349
0.000 0.000 0.077
0.500 0.500 0.794
0.000 0.000 0.566

No. 4
YErAgRu PBE relaxed; relative energy among the computed polymorphs = 5.9 kJ per mole of atoms; calculated formation energy = -34.7 kJ per mole of atoms
1.0
-4.671 1.376 -0.871
-3.616 -1.451 3.049
-2.204 3.290 2.965
Ag Er Ru Y
1 1 1 1
Direct
0.250 0.250 0.250
0.000 0.000 0.000
0.750 0.750 0.750
0.500 0.500 0.500

No. 5
Er2AgS4 PBE relaxed; relative energy among the computed polymorphs = 0.0 kJ per mole of atoms; formation energy from raw total energies = -1404 meV per atom
1.0
6.848 -0.051 3.913
-2.201 6.485 3.913
0.036 0.050 7.880
S Ag Er
8 2 4
Direct
0.743 0.228 0.014
0.743 0.758 0.014
0.257 0.242 0.986
0.257 0.772 0.986
0.272 0.757 0.486
0.258 0.243 0.514
0.742 0.757 0.486
0.728 0.243 0.514
0.875 0.625 0.750
0.125 0.375 0.250
0.500 0.500 0.500
0.500 0.000 0.000
0.500 0.000 0.500
0.000 0.000 0.000

No. 6
Er3Ag5S12 PBE relaxed; formation energy from raw total energies = -513 meV per atom
1.0
-7.755 1.864 10.555
-7.519 -2.093 -10.682
7.779 -10.504 2.044
Er Ag S
12 20 48
Direct
0.250 0.625 0.875
0.625 0.250 0.375
0.125 0.875 0.750
0.125 0.250 0.875
0.375 0.625 0.250
0.250 0.125 0.375
0.375 0.750 0.625
0.625 0.375 0.750
0.750 0.875 0.625
0.875 0.750 0.125
0.875 0.125 0.250
0.750 0.375 0.125
0.500 0.500 0.500
0.375 0.250 0.125
0.750 0.125 0.875
0.500 0.000 0.000
0.000 0.000 0.000
0.000 0.500 0.000
0.500 0.000 0.500
0.250 0.875 0.125
0.875 0.625 0.750
0.000 0.500 0.500
0.000 0.000 0.500
0.875 0.250 0.625
0.625 0.875 0.250
0.250 0.375 0.625
0.125 0.375 0.250
0.625 0.750 0.875
0.375 0.125 0.750
0.125 0.750 0.375
0.750 0.625 0.375
0.500 0.500 0.000
0.451 0.668 0.088
0.049 0.412 0.832
0.588 0.636 0.420
0.080 0.168 0.216
0.136 0.716 0.549
0.420 0.136 0.588
0.080 0.912 0.364
0.716 0.580 0.168
0.668 0.216 0.580
0.216 0.549 0.636
0.951 0.364 0.284
0.284 0.420 0.832
0.716 0.136 0.049
0.216 0.668 0.080
0.912 0.080 0.864
0.636 0.588 0.920
0.412 0.364 0.580
0.832 0.920 0.284
0.668 0.451 0.588
0.420 0.284 0.332
0.364 0.951 0.784
0.332 0.784 0.420
0.588 0.951 0.668
0.912 0.832 0.549
0.088 0.920 0.136
0.284 0.864 0.951
0.580 0.716 0.668
0.332 0.549 0.412
0.832 0.912 0.049
0.951 0.588 0.168
0.136 0.420 0.088
0.049 0.636 0.716
0.549 0.332 0.912
0.088 0.168 0.451
0.864 0.580 0.912
0.549 0.216 0.136
0.364 0.412 0.080
0.864 0.284 0.451
0.168 0.080 0.716
0.580 0.864 0.412
0.636 0.049 0.216
0.451 0.784 0.864
0.784 0.451 0.364
0.168 0.088 0.951
0.412 0.049 0.332
0.920 0.832 0.784
0.920 0.088 0.636
0.784 0.332 0.920

No. 7
ErAg2S2 PBE relaxed; formation energy from raw total energies = -675 meV per atom
1.0
7.642 0.939 1.354
-2.564 4.736 0.839
-2.564 -0.877 4.729
S Ag Er
4 4 2
Direct
0.133 0.285 0.130
0.633 0.130 0.285
0.867 0.715 0.870
0.367 0.870 0.715
0.000 0.000 0.500
0.000 0.500 0.500
0.500 0.500 0.000
0.500 0.500 0.500
0.250 0.855 0.145
0.750 0.145 0.855

No. 8
Er5AgS8 PBE relaxed; formation energy from raw total energies = -1834 meV per atom
1.0
6.894 0.000 3.980
2.298 6.500 3.980
0.000 0.000 7.960
Er S Ag
5 8 1
Direct
0.138 0.621 0.621
0.621 0.621 0.621
0.000 0.000 0.000
0.621 0.138 0.621
0.621 0.621 0.138
0.867 0.867 0.400
0.400 0.867 0.867
0.867 0.400 0.867
0.383 0.383 0.383
0.383 0.851 0.383
0.867 0.867 0.867
0.851 0.383 0.383
0.383 0.383 0.851
0.250 0.250 0.250

| no. | ρ (g/cm³) | N(E_F) (states/eV/atom) |
| --- | --- | --- |
| 1 | 9.834 | 1.009 |
| 2 | 10.634 | 0.636 |
| 3 | 8.863 | 0.650 |
| 4 | 9.023 | 0.557 |
| 5 | 5.472 | 0.600 |
| 6 | 5.313 | 0.816 |
| 7 | 7.222 | 0.336 |
| 8 | 5.590 | 0.000 |